1.
# Y2MnZn3Ni12

Y2MnZn3Ni12 after structural relaxation (GGA-PBE, Alexandria).

The final energy comes out at -5.18 eV per atom. Its formation energy is 10.6 kJ/mol of atoms.

The structure belongs to space group R-3m (No. 166, hexagonal axes); the cell edges are 5.9592, 5.9592 and 25.9073 Å and the angles 90.00°, 90.00° and 120.00°. The distinct sites, in fractional coordinates, are Y at (0.0000, 0.0000, 0.1510), Mn at (0.0000, 0.0000, 0.5000), Zn at (0.0000, 0.5000, 0.0000), Ni at (0.0462, 0.5231, 0.0983) and Ni at (0.0720, 0.5360, 0.6148).

2.
# CrNi7Ge2Pd2

CrNi7Ge2Pd2 after structural relaxation (GGA-PBE, Alexandria).

The final energy comes out at -5.87 eV per atom. Its formation energy is -5.8 kJ/mol of atoms.

The structure belongs to space group C2/m (No. 12); the cell edges are 5.211, 5.085 and 11.500 Å and the angles 90.00°, 90.15° and 90.00°. The distinct sites, in fractional coordinates, are Cr at (0.000, 0.000, 0.000), Ni at (0.000, 0.500, 0.000), Ni at (0.224, 0.000, 0.499), Ni at (0.248, 0.250, 0.852), Ge at (0.002, 0.000, 0.307) and Pd at (0.003, 0.500, 0.319).

3.
# CsAcSn2Br8

CsAcSn2Br8 after structural relaxation (GGA-PBE, Alexandria).

The final energy comes out at -3.53 eV per atom. Its uncorrected formation energy is -1333 meV per atom.

The structure belongs to space group P-1 (No. 2); the cell edges are 7.020, 7.505 and 10.056 Å and the angles 83.83°, 85.02° and 87.12°. The distinct sites, in fractional coordinates, are Cs at (0.000, 0.000, 0.000), Ac at (0.000, 0.000, 0.500), Sn at (0.483, 0.486, 0.245), Br at (0.245, 0.337, 0.467), Br at (0.253, 0.834, 0.282), Br at (0.265, 0.389, 0.059) and Br at (0.265, 0.850, 0.713).

4.
# KFeRe2Pb

KFeRe2Pb after structural relaxation (GGA-PBE, Alexandria).

The final energy comes out at -6.02 eV per atom. Its formation energy is 155.4 kJ/mol of atoms.

The structure belongs to space group P4/mmm (No. 123); the cell edges are 4.517, 4.517 and 5.410 Å and the angles 90.00°, 90.00° and 90.00°. The distinct sites, in fractional coordinates, are K at (0.000, 0.000, 0.000), Fe at (0.000, 0.000, 0.500), Re at (0.000, 0.500, 0.500) and Pb at (0.500, 0.500, 0.000).

5.
# CrReW2

CrReW2 after structural relaxation (GGA-PBE, Alexandria).

The final energy comes out at -10.97 eV per atom. Its formation energy is 98.9 kJ/mol of atoms.

The structure belongs to space group Immm (No. 71); the cell edges are 2.891, 4.337 and 10.222 Å and the angles 90.00°, 90.00° and 90.00°. The distinct sites, in fractional coordinates, are Cr at (0.000, 0.000, 0.000), Re at (0.000, 0.000, 0.500) and W at (0.000, 0.000, 0.226).

Which of these has the highest final energy? CsAcSn2Br8

Repeat the fourth record exactly.
# KFeRe2Pb

KFeRe2Pb after structural relaxation (GGA-PBE, Alexandria).

The final energy comes out at -6.02 eV per atom. Its formation energy is 155.4 kJ/mol of atoms.

The structure belongs to space group P4/mmm (No. 123); the cell edges are 4.517, 4.517 and 5.410 Å and the angles 90.00°, 90.00° and 90.00°. The distinct sites, in fractional coordinates, are K at (0.000, 0.000, 0.000), Fe at (0.000, 0.000, 0.500), Re at (0.000, 0.500, 0.500) and Pb at (0.500, 0.500, 0.000).

Which value of final energy does entry 2 give? -5.87 eV per atom